# Li4Mn3V3Sn2O16, relaxed, DFT GGA+U
# * crystal system: triclinic
# * DFT total energy: -6.86 eV/atom
# * magnetic moment: 16.00 Bohr magnetons per cell
data_Li4Mn3V3Sn2O16
_chemical_formula_sum 'Li4 Mn3 V3 Sn2 O16'
_cell_length_a 5.9253
_cell_length_b 5.9813
_cell_length_c 9.8361
_cell_angle_alpha 91.01
_cell_angle_beta 90.62
_cell_angle_gamma 118.15
_space_group_name_H-M_alt 'P 1'
_space_group_IT_number 1
loop_
_space_group_symop_operation_xyz
'x,y,z'
loop_
_atom_site_label
_atom_site_fract_x
_atom_site_fract_y
_atom_site_fract_z
Li1 0.0000 0.0000 0.0000
Li2 0.0166 0.9780 0.4997
Li3 0.3238 0.6490 0.9074
Li4 0.6607 0.2975 0.4076
Mn1 0.1677 0.8157 0.2211
Mn2 0.6582 0.8091 0.2225
Mn3 0.8300 0.6430 0.7219
V1 0.1598 0.3208 0.2240
V2 0.3437 0.1428 0.7223
V3 0.8351 0.1533 0.7227
Sn1 0.3476 0.6380 0.4989
Sn2 0.6643 0.3338 0.9979
O1 0.0004 0.9834 0.3129
O2 0.0092 0.9780 0.8142
O3 0.0311 0.4690 0.3509
O4 0.1802 0.3002 0.6131
O5 0.1916 0.8275 0.6062
O6 0.3253 0.1780 0.1100
O7 0.3255 0.6465 0.1210
O8 0.4717 0.4718 0.3514
O9 0.4776 0.9327 0.3465
O10 0.4914 0.4510 0.8503
O11 0.5087 0.0184 0.8467
O12 0.6616 0.3149 0.6176
O13 0.6976 0.8227 0.6034
O14 0.8437 0.6819 0.1032
O15 0.8445 0.1712 0.1067
O16 0.9594 0.4647 0.8459